Record 1
Computed, not measured: a relaxed structure of Pr4GePbSe2 at the PBE level of DFT.

- calculated total energy (eV/cell) = -44.6
- uncorrected formation energy (meV per atom) = -1275

Cell lengths 4.359, 7.609, 7.632 Å; angles 70.79, 90.00, 90.00 degrees
Fractional coordinates of all 8 atoms:
Pr: 0.000 0.756 0.738
Pr: 0.000 0.244 0.262
Pr: 0.500 0.746 0.261
Pr: 0.500 0.254 0.739
Ge: 0.000 0.500 0.500
Pb: 0.500 0.500 0.000
Se: 0.000 0.000 0.000
Se: 0.500 0.000 0.500


Record 2
Computed, not measured: a relaxed structure of Pr6Ge2Te3Pb at the PBE level of DFT.

- calculated total energy (eV/cell) = -64.9
- uncorrected formation energy (meV per atom) = -1151

Cell lengths 4.466, 9.063, 10.080 Å; angles 103.55, 102.80, 90.00 degrees
Fractional coordinates of all 12 atoms:
Pr: 0.332 0.897 0.664
Pr: 0.673 0.569 0.346
Pr: 0.668 0.103 0.336
Pr: 0.008 0.253 0.016
Pr: 0.992 0.747 0.984
Pr: 0.327 0.431 0.654
Ge: 0.832 0.665 0.664
Ge: 0.168 0.335 0.336
Te: 0.500 0.500 0.000
Te: 0.836 0.168 0.671
Te: 0.164 0.832 0.329
Pb: 0.500 0.000 0.000


Record 3
Computed, not measured: a relaxed structure of Pr8Ge3Te4Pb at the PBE level of DFT.

- calculated total energy (eV/cell) = -87.0
- uncorrected formation energy (meV per atom) = -1162

Cell lengths 8.929, 9.023, 8.929 Å; angles 119.66, 120.00, 90.00 degrees
Fractional coordinates of all 16 atoms:
Pr: 0.249 0.731 0.983
Pr: 0.249 0.732 0.497
Pr: 0.259 0.276 0.518
Pr: 0.734 0.731 0.983
Pr: 0.266 0.269 0.017
Pr: 0.741 0.724 0.482
Pr: 0.751 0.268 0.503
Pr: 0.751 0.269 0.017
Ge: 0.500 0.500 0.000
Ge: 0.500 0.500 0.500
Ge: 0.000 0.500 0.500
Te: 0.500 0.000 0.000
Te: 0.500 0.000 0.500
Te: 0.000 0.000 0.000
Te: 0.000 0.000 0.500
Pb: 0.000 0.500 0.000


> Which of these has the highest uncorrected formation energy?

Pr6Ge2Te3Pb


> Which value of calculated total energy does entry 1 give?

-44.6 eV/cell


What did the second record say?
Computed, not measured: a relaxed structure of Pr6Ge2Te3Pb at the PBE level of DFT.

- calculated total energy (eV/cell) = -64.9
- uncorrected formation energy (meV per atom) = -1151

Cell lengths 4.466, 9.063, 10.080 Å; angles 103.55, 102.80, 90.00 degrees
Fractional coordinates of all 12 atoms:
Pr: 0.332 0.897 0.664
Pr: 0.673 0.569 0.346
Pr: 0.668 0.103 0.336
Pr: 0.008 0.253 0.016
Pr: 0.992 0.747 0.984
Pr: 0.327 0.431 0.654
Ge: 0.832 0.665 0.664
Ge: 0.168 0.335 0.336
Te: 0.500 0.500 0.000
Te: 0.836 0.168 0.671
Te: 0.164 0.832 0.329
Pb: 0.500 0.000 0.000


> What is the uncorrected formation energy in the third record?

-1162 meV per atom